CaLa2Pm4 | Alexandria via LeMat-Bulk | PBE | relaxed; symmetry = R-3m, No. 166; magnetic moment = 0.000 μB per cell
1.0
1.8497 1.0679 21.3304
-1.8497 1.0679 21.3304
0.0000 -2.1359 21.3304
Ca La Pm
1 2 4
direct
0.0000 0.0000 0.0000
0.4293 0.4293 0.4293
0.5707 0.5707 0.5707
0.1438 0.1438 0.1438
0.2834 0.2834 0.2834
0.7166 0.7166 0.7166
0.8562 0.8562 0.8562

=====

CaLa6Pm2 | Alexandria via LeMat-Bulk | PBE | relaxed; ΔE to the lowest computed polymorph = 0.0 meV per atom; symmetry = C2/c, No. 15; magnetic moment = 0.000 μB per cell
1.0
11.3307 -5.0930 0.0000
11.3307 5.0930 0.0000
-1.5584 0.0000 5.7477
Ca La Pm
2 12 4
direct
0.2455 0.7545 0.7500
0.7545 0.2455 0.2500
0.0053 0.8236 0.1810
0.0745 0.5814 0.5784
0.1764 0.9947 0.3190
0.3419 0.4892 0.1391
0.4186 0.9255 0.9216
0.4892 0.3419 0.6391
0.5108 0.6581 0.3609
0.5814 0.0745 0.0784
0.6581 0.5108 0.8609
0.8236 0.0053 0.6810
0.9255 0.4186 0.4216
0.9947 0.1764 0.8190
0.1696 0.3338 0.0132
0.3338 0.1696 0.5132
0.6662 0.8304 0.4868
0.8304 0.6662 0.9868

=====

CaLa2Pm2 | Alexandria via LeMat-Bulk | PBE | relaxed; ΔE to the lowest computed polymorph = 57.3 meV per atom; symmetry = P2/m, No. 10; magnetic moment = 0.000 μB per cell
1.0
5.8809 0.0000 0.0000
0.0000 3.6032 0.0000
-2.9223 0.0000 8.7727
Ca La Pm
1 2 2
direct
0.0000 0.0000 0.0000
0.2081 0.0000 0.4140
0.7919 0.0000 0.5860
0.3897 0.5000 0.7820
0.6103 0.5000 0.2180

=====

Calculated values (eV/f.u.) of total DFT energy (no corrections) for the records, taken in order: -30.64; -40.39; -20.95.
Calculated values (g/cm3) of mass density for the records, taken in order: 5.90; 5.82; 5.43.
Calculated values (eV/atom) of DFT formation energy for the records, taken in order: 0.031; 0.076; 0.081.